Record 1
Below is a relaxed structure of BaInBr2, with properties calculated at the PBE level.

- formation energy without anion corrections (eV per atom) = -1.104
- spin magnetization (μB/f.u.) = 0.00

abc: 10.9708 10.9708 10.9708
angles: 149.60 149.60 43.53
Sites, in units of the cell vectors:
Ba: 0.0000 0.0000 0.0000
Ba: 0.7500 0.2500 0.5000
In: 0.2500 0.7500 0.5000
In: 0.5000 0.5000 0.0000
Br: 0.1159 0.6250 0.9909
Br: 0.3750 0.3659 0.4909
Br: 0.6341 0.1250 0.0091
Br: 0.8750 0.8841 0.5091

Record 2
Below is a relaxed structure of LiSm3Se4, with properties calculated at the PBE level.

- formation energy without anion corrections (eV per atom) = -1.764
- spin magnetization (μB/f.u.) = 0.00

abc: 7.1639 7.1639 4.1324
angles: 90.00 90.00 109.37
Sites, in units of the cell vectors:
Li: 0.0000 0.0000 0.0000
Sm: 0.0000 0.5000 0.5000
Sm: 0.5000 0.0000 0.5000
Sm: 0.5000 0.5000 0.0000
Se: 0.2413 0.2413 0.5000
Se: 0.2437 0.7563 0.0000
Se: 0.7563 0.2437 0.0000
Se: 0.7587 0.7587 0.5000

Computed offset from the most stable computed form (kJ per mole of atoms) in order:
14.1, 1.4
Computed total energy (eV/atom) in order:
-3.1062, -5.5148